(A)
DFT (PBE-GGA) results for CeZn4Ru after structural relaxation.

- M_tot: 0.22 μB per formula unit
- N(E_F): 3.4 states/eV per cell

Unit cell a=5.1814 b=5.1814 c=5.1814 alpha=60.00 beta=60.00 gamma=60.00
Fractional positions:
Ce: 0.0000 0.0000 0.0000
Zn: 0.3765 0.3765 0.3765
Zn: 0.3765 0.3765 0.8704
Zn: 0.3765 0.8704 0.3765
Zn: 0.8704 0.3765 0.3765
Ru: 0.7500 0.7500 0.7500

---

(B)
DFT (PBE-GGA) results for CeZn4Ru after structural relaxation.

- M_tot: 0.00 μB per formula unit
- N(E_F): 7.2 states/eV per cell

Unit cell a=7.9747 b=4.0928 c=6.5856 alpha=90.00 beta=90.00 gamma=90.00
Fractional positions:
Ce: 0.2500 0.0000 0.0900
Ce: 0.7500 0.0000 0.9100
Zn: 0.0000 0.0000 0.5000
Zn: 0.0367 0.5000 0.7921
Zn: 0.2500 0.5000 0.4623
Zn: 0.4633 0.5000 0.7921
Zn: 0.5000 0.0000 0.5000
Zn: 0.5367 0.5000 0.2079
Zn: 0.7500 0.5000 0.5377
Zn: 0.9633 0.5000 0.2079
Ru: 0.2500 0.0000 0.7411
Ru: 0.7500 0.0000 0.2589

---

Going by the energies, (B) is most stable and the next is 67 meV per atom up.